Material: CrPdC2I
Method: DFT, PBEsol
State: optimized geometry

Cell lengths 4.1864, 4.1864, 4.9345 Å; angles 90.00, 90.00, 90.00 degrees
Each line ends with the local moment (μB).
Positions (direct):
I (0.0000, 0.0000, 0.0000)  -0.07
Cr (0.0000, 0.0000, 0.5000)  3.46
C (0.0000, 0.5000, 0.0000)  -0.17
C (0.5000, 0.0000, 0.0000)  -0.17
Pd (0.5000, 0.5000, 0.5000)  0.00

Computed properties:
The raw total energy is -4.4941 eV per atom.


Material: HgS2NCl
Method: DFT, PBEsol
State: optimized geometry

Cell lengths 4.1466, 4.1466, 4.5408 Å; angles 90.00, 90.00, 90.00 degrees
Positions (direct):
S (0.0000, 0.5000, 0.0000)
S (0.5000, 0.0000, 0.0000)
N (0.0000, 0.0000, 0.0000)
Hg (0.5000, 0.5000, 0.5000)
Cl (0.0000, 0.0000, 0.5000)

Computed properties:
The raw total energy is -3.0817 eV per atom.